Record 1
A relaxed structure of LiHf3Ir. Source: the Alexandria database, functional PBE.

Cell lengths 5.066, 5.066, 5.066 Å; angles 90.00, 90.00, 90.00 degrees
Last column: magnetic moment on the atom in μB.
Fractional coordinates of all 5 atoms:
Ir 0.000 0.000 0.000  0.02
Hf 0.000 0.500 0.000  0.14
Hf 0.000 0.000 0.500  0.10
Hf 0.500 0.000 0.000  0.28
Li 0.500 0.500 0.500  0.01

Its energy relative to the elements is 0.288 eV/atom.


Record 2
A relaxed structure of LiHf3Ir4. Source: the Alexandria database, functional PBE.

Cell lengths 4.628, 6.194, 9.268 Å; angles 90.00, 90.00, 90.00 degrees
Fractional coordinates of all 16 atoms:
Ir 0.500 0.749 0.000
Ir 0.500 0.749 0.500
Ir 0.500 0.251 0.000
Ir 0.500 0.251 0.500
Ir 0.000 0.749 0.750
Ir 0.000 0.749 0.250
Ir 0.000 0.251 0.250
Ir 0.000 0.251 0.750
Hf 0.000 0.000 0.000
Hf 0.000 0.000 0.500
Hf 0.500 0.000 0.750
Hf 0.500 0.000 0.250
Hf 0.500 0.500 0.750
Hf 0.500 0.500 0.250
Li 0.000 0.500 0.000
Li 0.000 0.500 0.500

Its energy relative to the elements is -0.834 eV/atom.


Record 3
A relaxed structure of LiHf2Ir. Source: the Alexandria database, functional PBE.

Cell lengths 7.468, 7.468, 6.011 Å; angles 51.59, 51.59, 90.00 degrees
Fractional coordinates of all 8 atoms:
Ir 0.000 0.000 0.000
Ir 0.750 0.250 0.500
Hf 0.659 0.125 0.250
Hf 0.091 0.625 0.250
Hf 0.375 0.341 0.750
Hf 0.875 0.909 0.750
Li 0.500 0.500 0.000
Li 0.250 0.750 0.500

Its energy relative to the elements is 0.006 eV/atom.


Record 4
A relaxed structure of Li2HfIr2. Source: the Alexandria database, functional PBE.

Cell lengths 6.719, 6.719, 3.077 Å; angles 90.00, 90.00, 90.00 degrees
Fractional coordinates of all 10 atoms:
Ir 0.193 0.693 0.500
Ir 0.693 0.807 0.500
Ir 0.807 0.307 0.500
Ir 0.307 0.193 0.500
Hf 0.000 0.000 0.000
Hf 0.500 0.500 0.000
Li 0.394 0.894 0.000
Li 0.894 0.606 0.000
Li 0.606 0.106 0.000
Li 0.106 0.394 0.000

Its energy relative to the elements is -0.316 eV/atom.


Record 5
A relaxed structure of LiHfMnIr. Source: the Alexandria database, functional PBE.

Cell lengths 4.475, 4.475, 4.475 Å; angles 60.00, 60.00, 60.00 degrees
Last column: magnetic moment on the atom in μB.
Fractional coordinates of all 4 atoms:
Ir 0.250 0.250 0.250  0.22
Hf 0.500 0.500 0.500  -0.21
Mn 0.000 0.000 0.000  3.65
Li 0.750 0.750 0.750  -0.04

Its energy relative to the elements is -0.329 eV/atom.


Record 6
A relaxed structure of LiHfNbIr. Source: the Alexandria database, functional PBE.

Cell lengths 4.558, 4.558, 4.558 Å; angles 60.00, 60.00, 60.00 degrees
Fractional coordinates of all 4 atoms:
Nb 0.250 0.250 0.250
Ir 0.000 0.000 0.000
Hf 0.750 0.750 0.750
Li 0.500 0.500 0.500

Its energy relative to the elements is -0.272 eV/atom.


Record 7
A relaxed structure of LiNdHfIr. Source: the Alexandria database, functional PBE.

Cell lengths 4.852, 4.852, 4.852 Å; angles 60.00, 60.00, 60.00 degrees
Fractional coordinates of all 4 atoms:
Nd 0.750 0.750 0.750
Ir 0.000 0.000 0.000
Hf 0.250 0.250 0.250
Li 0.500 0.500 0.500

Its energy relative to the elements is -0.322 eV/atom.


Record 8
A relaxed structure of LiHf2IrO. Source: the Alexandria database, functional PBE.

Cell lengths 4.436, 4.436, 3.633 Å; angles 90.00, 90.00, 90.00 degrees
Fractional coordinates of all 5 atoms:
Ir 0.500 0.500 0.500
Hf 0.000 0.500 0.000
Hf 0.500 0.000 0.000
O 0.000 0.000 0.000
Li 0.000 0.000 0.500

The energy relative to the elements, uncorrected comes out at -1.5014 eV per atom.


Record 9
A relaxed structure of LiHfIrOs2. Source: the Alexandria database, functional PBE.

Cell lengths 4.872, 4.879, 4.872 Å; angles 90.00, 90.00, 90.00 degrees
Last column: magnetic moment on the atom in μB.
Fractional coordinates of all 5 atoms:
Hf 0.000 0.000 0.000  -0.12
Ir 0.000 0.500 0.000  0.48
Os 0.000 0.000 0.500  1.26
Os 0.500 0.000 0.000  1.22
Li 0.500 0.500 0.500  -0.01

Its energy relative to the elements is 1.850 eV/atom.


Record 10
A relaxed structure of Li2HfPIr. Source: the Alexandria database, functional PBE.

Cell lengths 4.373, 4.420, 4.373 Å; angles 90.00, 90.00, 90.00 degrees
Fractional coordinates of all 5 atoms:
P 0.000 0.500 0.000
Ir 0.000 0.000 0.000
Hf 0.500 0.500 0.500
Li 0.000 0.000 0.500
Li 0.500 0.000 0.000

Its energy relative to the elements is 0.193 eV/atom.


Record 11
A relaxed structure of LiHfIrPb. Source: the Alexandria database, functional PBE.

Cell lengths 4.634, 4.634, 4.634 Å; angles 60.00, 60.00, 60.00 degrees
Fractional coordinates of all 4 atoms:
Pb 0.000 0.000 0.000
Ir 0.250 0.250 0.250
Hf 0.500 0.500 0.500
Li 0.750 0.750 0.750

Its energy relative to the elements is -0.456 eV/atom.


Record 12
A relaxed structure of LiHf2IrPb. Source: the Alexandria database, functional PBE.

Cell lengths 5.359, 4.990, 5.359 Å; angles 90.00, 90.00, 90.00 degrees
Fractional coordinates of all 5 atoms:
Pb 0.000 0.000 0.000
Ir 0.000 0.500 0.000
Hf 0.000 0.000 0.500
Hf 0.500 0.000 0.000
Li 0.500 0.500 0.500

Its energy relative to the elements is 1.460 eV/atom.


| no. | M_tot (μB per formula unit) |
| --- | --- |
| 1 | 1.0 |
| 2 | 0.0 |
| 3 | 0.0 |
| 4 | 0.0 |
| 5 | 3.7 |
| 6 | 0.0 |
| 7 | 0.0 |
| 8 | 0.0 |
| 9 | 3.0 |
| 10 | 0.0 |
| 11 | 0.0 |
| 12 | 0.0 |